[1]
# ZrSc2Si2Ru5 | the Alexandria database | PBE | optimized geometry
# **Magnetic moment**: 0.0 μB/f.u.
# **DOS(E_F)**: 0.70 states/eV/atom
# **Formation energy from raw total energies**: -0.694 eV per atom
# **Energy**: -170.8 eV for the cell shown
data_ZrSc2Si2Ru5
_chemical_formula_sum 'Zr2 Sc4 Si4 Ru10'
_space_group_name_H-M_alt 'P 4/m b m'
_space_group_IT_number 127
_space_group_name_Hall '-P 4 2ab'
_cell_length_a 9.914
_cell_length_b 9.914
_cell_length_c 3.237
_cell_angle_alpha 90.00
_cell_angle_beta 90.00
_cell_angle_gamma 90.00
loop_
_atom_site_label
_atom_site_fract_x
_atom_site_fract_y
_atom_site_fract_z
Zr1 0.000 0.000 0.000
Sc1 0.173 0.327 0.000
Si1 0.127 0.627 0.000
Ru1 0.000 0.500 0.500
Ru2 0.070 0.790 0.500



[2]
# Sm2ScRu | the Alexandria database | PBE | optimized geometry
# **Formation energy**: 0.90 eV/f.u.
# **Magnetic moment**: 0.0 μB/f.u.
# **DOS(E_F)**: 1.42 states/eV/atom
# **Energy**: -72.4 eV for the cell shown
data_Sm2ScRu
_chemical_formula_sum 'Sm6 Sc3 Ru3'
_space_group_name_H-M_alt 'R -3 m'
_space_group_IT_number 166
_space_group_name_Hall '-R 3 2"'
_cell_length_a 3.4542
_cell_length_b 3.4542
_cell_length_c 31.3361
_cell_angle_alpha 90.00
_cell_angle_beta 90.00
_cell_angle_gamma 120.00
loop_
_atom_site_label
_atom_site_fract_x
_atom_site_fract_y
_atom_site_fract_z
Sm1 0.0000 0.0000 0.1028
Sc1 0.0000 0.0000 0.0000
Ru1 0.0000 0.0000 0.5000



[3]
# SmSc3Ru4 | the Alexandria database | PBE | optimized geometry
# **Formation energy**: -3.27 eV/f.u.
# **Magnetic moment**: 0.0 μB/f.u.
# **DOS(E_F)**: 1.14 states/eV/atom
# **Energy**: -64.1 eV for the cell shown
data_SmSc3Ru4
_chemical_formula_sum 'Sm1 Sc3 Ru4'
_space_group_name_H-M_alt 'P 4/m m m'
_space_group_IT_number 123
_space_group_name_Hall '-P 4 2'
_cell_length_a 4.629
_cell_length_b 4.629
_cell_length_c 6.559
_cell_angle_alpha 90.00
_cell_angle_beta 90.00
_cell_angle_gamma 90.00
loop_
_atom_site_label
_atom_site_fract_x
_atom_site_fract_y
_atom_site_fract_z
Sm1 0.000 0.000 0.000
Sc1 0.000 0.000 0.500
Sc2 0.500 0.500 0.000
Sc3 0.500 0.500 0.500
Ru1 0.000 0.500 0.259



[4]
# SmSc3Ru2 | the Alexandria database | PBE | optimized geometry
# **Formation energy**: -2.55 eV/f.u.
# **Magnetic moment**: 0.0 μB/f.u.
# **DOS(E_F)**: 0.77 states/eV/atom
# **Energy**: -44.8 eV for the cell shown
data_SmSc3Ru2
_chemical_formula_sum 'Sm1 Sc3 Ru2'
_space_group_name_H-M_alt 'P 4/m m m'
_space_group_IT_number 123
_space_group_name_Hall '-P 4 2'
_cell_length_a 3.262
_cell_length_b 3.262
_cell_length_c 11.628
_cell_angle_alpha 90.00
_cell_angle_beta 90.00
_cell_angle_gamma 90.00
loop_
_atom_site_label
_atom_site_fract_x
_atom_site_fract_y
_atom_site_fract_z
Sm1 0.000 0.000 0.000
Sc1 0.500 0.500 0.233
Sc2 0.500 0.500 0.500
Ru1 0.000 0.000 0.358



[5]
# SmScRu2 | the Alexandria database | PBE | optimized geometry
# **Formation energy**: -1.24 eV/f.u.
# **Magnetic moment**: 0.0 μB/f.u.
# **DOS(E_F)**: 1.26 states/eV/atom
# **Energy**: -30.8 eV for the cell shown
data_SmScRu2
_chemical_formula_sum 'Sm1 Sc1 Ru2'
_space_group_name_H-M_alt 'P 4/m m m'
_space_group_IT_number 123
_space_group_name_Hall '-P 4 2'
_cell_length_a 3.334
_cell_length_b 3.334
_cell_length_c 6.707
_cell_angle_alpha 90.00
_cell_angle_beta 90.00
_cell_angle_gamma 90.00
loop_
_atom_site_label
_atom_site_fract_x
_atom_site_fract_y
_atom_site_fract_z
Sm1 0.000 0.000 0.000
Sc1 0.000 0.000 0.500
Ru1 0.500 0.500 0.268



[6]
# SmSc5Ru4 | the Alexandria database | PBE | optimized geometry
# **Formation energy**: -4.58 eV/f.u.
# **Magnetic moment**: 0.0 μB/f.u.
# **DOS(E_F)**: 1.00 states/eV/atom
# **Energy**: -78.1 eV for the cell shown
data_SmSc5Ru4
_chemical_formula_sum 'Sm1 Sc5 Ru4'
_space_group_name_H-M_alt 'P 4/m m m'
_space_group_IT_number 123
_space_group_name_Hall '-P 4 2'
_cell_length_a 3.240
_cell_length_b 3.240
_cell_length_c 18.115
_cell_angle_alpha 90.00
_cell_angle_beta 90.00
_cell_angle_gamma 90.00
loop_
_atom_site_label
_atom_site_fract_x
_atom_site_fract_y
_atom_site_fract_z
Sm1 0.000 0.000 0.000
Sc1 0.500 0.500 0.152
Sc2 0.500 0.500 0.326
Sc3 0.500 0.500 0.500
Ru1 0.000 0.000 0.231
Ru2 0.000 0.000 0.411



[7]
# SmSc4Ru5 | the Alexandria database | PBE | optimized geometry
# **Formation energy**: -4.40 eV/f.u.
# **Magnetic moment**: 0.0 μB/f.u.
# **DOS(E_F)**: 1.25 states/eV/atom
# **Energy**: -80.8 eV for the cell shown
data_SmSc4Ru5
_chemical_formula_sum 'Sm1 Sc4 Ru5'
_space_group_name_H-M_alt 'P 4/m m m'
_space_group_IT_number 123
_space_group_name_Hall '-P 4 2'
_cell_length_a 3.262
_cell_length_b 3.262
_cell_length_c 16.312
_cell_angle_alpha 90.00
_cell_angle_beta 90.00
_cell_angle_gamma 90.00
loop_
_atom_site_label
_atom_site_fract_x
_atom_site_fract_y
_atom_site_fract_z
Sm1 0.000 0.000 0.000
Sc1 0.000 0.000 0.209
Sc2 0.000 0.000 0.403
Ru1 0.500 0.500 0.112
Ru2 0.500 0.500 0.306
Ru3 0.500 0.500 0.500



[8]
# SmScRu2 | the Alexandria database | PBE | optimized geometry
# **Formation energy**: -1.25 eV/f.u.
# **Magnetic moment**: 0.0 μB/f.u.
# **DOS(E_F)**: 0.67 states/eV/atom
# **Energy**: -123.4 eV for the cell shown
data_SmScRu2
_chemical_formula_sum 'Sm4 Sc4 Ru8'
_space_group_name_H-M_alt 'C m c m'
_space_group_IT_number 63
_space_group_name_Hall '-C 2c 2'
_cell_length_a 6.704
_cell_length_b 9.479
_cell_length_c 4.690
_cell_angle_alpha 90.00
_cell_angle_beta 90.00
_cell_angle_gamma 90.00
loop_
_atom_site_label
_atom_site_fract_x
_atom_site_fract_y
_atom_site_fract_z
Sm1 0.000 0.130 0.250
Sc1 0.000 0.382 0.750
Ru1 0.241 0.376 0.250



[9]
# SmSc5Ru6 | the Alexandria database | PBE | optimized geometry
# **Formation energy**: -5.47 eV/f.u.
# **Magnetic moment**: 0.0 μB/f.u.
# **DOS(E_F)**: 0.99 states/eV/atom
# **Energy**: -195.0 eV for the cell shown
data_SmSc5Ru6
_chemical_formula_sum 'Sm2 Sc10 Ru12'
_space_group_name_H-M_alt 'I m m m'
_space_group_IT_number 71
_space_group_name_Hall '-I 2 2'
_cell_length_a 4.597
_cell_length_b 6.520
_cell_length_c 13.779
_cell_angle_alpha 90.00
_cell_angle_beta 90.00
_cell_angle_gamma 90.00
loop_
_atom_site_label
_atom_site_fract_x
_atom_site_fract_y
_atom_site_fract_z
Sm1 0.000 0.000 0.000
Sc1 0.000 0.000 0.333
Sc2 0.000 0.500 0.000
Sc3 0.000 0.500 0.328
Ru1 0.000 0.242 0.500
Ru2 0.000 0.254 0.169



[10]
# SmSc2Ru9 | the Alexandria database | PBE | optimized geometry
# **Formation energy**: -1.69 eV/f.u.
# **Magnetic moment**: 0.0 μB/f.u.
# **DOS(E_F)**: 1.41 states/eV/atom
# **Energy**: -307.7 eV for the cell shown
data_SmSc2Ru9
_chemical_formula_sum 'Sm3 Sc6 Ru27'
_space_group_name_H-M_alt 'R -3 m'
_space_group_IT_number 166
_space_group_name_Hall '-R 3 2"'
_cell_length_a 5.2253
_cell_length_b 5.2253
_cell_length_c 25.6423
_cell_angle_alpha 90.00
_cell_angle_beta 90.00
_cell_angle_gamma 120.00
loop_
_atom_site_label
_atom_site_fract_x
_atom_site_fract_y
_atom_site_fract_z
Sm1 0.0000 0.0000 0.0000
Sc1 0.0000 0.0000 0.1400
Ru1 0.0000 0.0000 0.3389
Ru2 0.0000 0.0000 0.5000
Ru3 0.0131 0.5065 0.9146



[11]
# SmSc3Ru | the Alexandria database | PBE | optimized geometry
# **Formation energy**: -0.76 eV/f.u.
# **Magnetic moment**: 0.0 μB/f.u.
# **DOS(E_F)**: 1.25 states/eV/atom
# **Energy**: -33.7 eV for the cell shown
data_SmSc3Ru
_chemical_formula_sum 'Sm1 Sc3 Ru1'
_space_group_name_H-M_alt 'P m -3 m'
_space_group_IT_number 221
_space_group_name_Hall '-P 4 2 3'
_cell_length_a 5.063
_cell_length_b 5.063
_cell_length_c 5.063
_cell_angle_alpha 90.00
_cell_angle_beta 90.00
_cell_angle_gamma 90.00
loop_
_atom_site_label
_atom_site_fract_x
_atom_site_fract_y
_atom_site_fract_z
Sm1 0.000 0.000 0.000
Sc1 0.000 0.500 0.500
Ru1 0.500 0.500 0.500



[12]
# TbSmScRu | the Alexandria database | PBE | optimized geometry
# **Formation energy**: 0.09 eV/f.u.
# **Magnetic moment**: 0.0 μB/f.u.
# **DOS(E_F)**: 1.35 states/eV/atom
# **Energy**: -99.5 eV for the cell shown
data_TbSmScRu
_chemical_formula_sum 'Tb4 Sm4 Sc4 Ru4'
_space_group_name_H-M_alt 'F -4 3 m'
_space_group_IT_number 216
_space_group_name_Hall 'F -4 2 3'
_cell_length_a 7.208
_cell_length_b 7.208
_cell_length_c 7.208
_cell_angle_alpha 90.00
_cell_angle_beta 90.00
_cell_angle_gamma 90.00
loop_
_atom_site_label
_atom_site_fract_x
_atom_site_fract_y
_atom_site_fract_z
Tb1 0.000 0.000 0.000
Sm1 0.000 0.000 0.500
Sc1 0.250 0.250 0.250
Ru1 0.250 0.250 0.750



Volume, record by record: 15.91 26.98 17.57 20.62 18.64 19.02 17.36 18.63 17.21 16.84 25.96 23.41 Å³/atom